[1]
The following is a DFT calculation (PBE) of a relaxed TePd10 crystal.

* electronic total energy: -5.072 eV/atom
* E above lowest polymorph: 0 meV/atom
* V: 527 Å³ per cell

Lattice parameters (Å, degrees): 4.7782 4.7782 30.6357 90.41 90.41 48.84
Fractional coordinates of all 22 atoms:
1 Te 0.1563 0.1563 0.7000
2 Te 0.8437 0.8437 0.3000
3 Pd 0.7508 0.7508 0.9282
4 Pd 0.3480 0.3480 0.1585
5 Pd 0.3507 0.3507 0.8703
6 Pd 0.5492 0.5492 0.0430
7 Pd 0.2543 0.2543 0.7840
8 Pd 0.0470 0.0470 0.1882
9 Pd 0.8537 0.8537 0.7203
10 Pd 0.6520 0.6520 0.8415
11 Pd 0.4492 0.4492 0.2477
12 Pd 0.6493 0.6493 0.1297
13 Pd 0.8497 0.8497 0.0146
14 Pd 0.9500 0.9500 0.1010
15 Pd 0.5508 0.5508 0.7523
16 Pd 0.1503 0.1503 0.9854
17 Pd 0.2492 0.2492 0.0718
18 Pd 0.9530 0.9530 0.8118
19 Pd 0.4508 0.4508 0.9570
20 Pd 0.0500 0.0500 0.8990
21 Pd 0.1463 0.1463 0.2797
22 Pd 0.7457 0.7457 0.2160

[2]
The following is a DFT calculation (PBE) of a relaxed Te8Pd crystal.

* electronic total energy: -3.222 eV/atom
* V: 263 Å³ per cell

Lattice parameters (Å, degrees): 8.7309 8.7309 3.9875 90.00 90.00 120.00
Fractional coordinates of all 9 atoms:
1 Te 0.0000 0.2122 0.5000
2 Te 0.3333 0.6667 0.5000
3 Te 0.2122 0.0000 0.5000
4 Te 0.5288 0.0000 0.0000
5 Te 0.4712 0.4712 0.0000
6 Te 0.0000 0.5288 0.0000
7 Te 0.6667 0.3333 0.5000
8 Te 0.7878 0.7878 0.5000
9 Pd 0.0000 0.0000 0.0000